Record 1
# RbNaCa2, optimized geometry, DFT PBE-GGA
data_RbNaCa2
_cell_length_a 4.104
_cell_length_b 4.104
_cell_length_c 11.651
_cell_angle_alpha 90.00
_cell_angle_beta 90.00
_cell_angle_gamma 90.00
_space_group_name_H-M_alt 'P 1'
_space_group_IT_number 1
loop_
_space_group_symop_operation_xyz
'x,y,z'
loop_
_atom_site_label
_atom_site_type_symbol
_atom_site_fract_x
_atom_site_fract_y
_atom_site_fract_z
Na1 Na 0.500 0.500 0.000
Ca1 Ca 0.000 0.000 0.803
Ca2 Ca 0.000 0.000 0.197
Rb1 Rb 0.500 0.500 0.500
# Magnetic moment in μB/atom: 0.0000
# Total energy in eV/atom: -1.404
# Symmetry: P4/mmm, No. 123
# Formation energy from the elements in kJ/mol of formula units: 65



Record 2
# RbNa2Ca2, optimized geometry, DFT PBE-GGA
data_RbNa2Ca2
_cell_length_a 5.178
_cell_length_b 5.178
_cell_length_c 10.192
_cell_angle_alpha 75.28
_cell_angle_beta 75.28
_cell_angle_gamma 90.00
_space_group_name_H-M_alt 'P 1'
_space_group_IT_number 1
loop_
_space_group_symop_operation_xyz
'x,y,z'
loop_
_atom_site_label
_atom_site_type_symbol
_atom_site_fract_x
_atom_site_fract_y
_atom_site_fract_z
Na1 Na 0.750 0.250 0.500
Na2 Na 0.250 0.750 0.500
Ca1 Ca 0.394 0.394 0.213
Ca2 Ca 0.606 0.606 0.787
Rb1 Rb 0.000 0.000 0.000
# Magnetic moment in μB/atom: 0.0000
# Total energy in eV/atom: -1.241
# Symmetry: I4/mmm, No. 139
# ΔE to the lowest computed polymorph in meV per atom: 150
# Formation energy from the elements in kJ/mol of formula units: 135



Please write out number 2 again, unchanged.
# RbNa2Ca2, optimized geometry, DFT PBE-GGA
data_RbNa2Ca2
_cell_length_a 5.178
_cell_length_b 5.178
_cell_length_c 10.192
_cell_angle_alpha 75.28
_cell_angle_beta 75.28
_cell_angle_gamma 90.00
_space_group_name_H-M_alt 'P 1'
_space_group_IT_number 1
loop_
_space_group_symop_operation_xyz
'x,y,z'
loop_
_atom_site_label
_atom_site_type_symbol
_atom_site_fract_x
_atom_site_fract_y
_atom_site_fract_z
Na1 Na 0.750 0.250 0.500
Na2 Na 0.250 0.750 0.500
Ca1 Ca 0.394 0.394 0.213
Ca2 Ca 0.606 0.606 0.787
Rb1 Rb 0.000 0.000 0.000
# Magnetic moment in μB/atom: 0.0000
# Total energy in eV/atom: -1.241
# Symmetry: I4/mmm, No. 139
# ΔE to the lowest computed polymorph in meV per atom: 150
# Formation energy from the elements in kJ/mol of formula units: 135